No. 1
Material: KTlPb2Cl8
Method: DFT, PBE
State: optimized geometry

POSCAR file:
```
KTlPb2Cl8
1.0
6.540 0.000 0.000
0.000 8.830 0.000
-0.117 0.000 6.801
K Tl Pb Cl
1 1 2 8
direct
0.000 0.000 0.000
0.000 0.500 0.000
0.500 0.252 0.500
0.500 0.748 0.500
0.233 0.285 0.152
0.233 0.715 0.152
0.238 0.500 0.679
0.277 0.000 0.639
0.723 0.000 0.361
0.762 0.500 0.321
0.767 0.285 0.848
0.767 0.715 0.848
```

Output
ΔE_f (raw) in eV/atom: -1.12



No. 2
Material: CsNa2SbPd
Method: DFT, PBE
State: optimized geometry

POSCAR file:
```
CsNa2SbPd
1.0
5.901 0.000 0.000
0.000 5.901 0.000
0.000 0.000 5.220
Cs Na Sb Pd
1 2 1 1
direct
0.000 0.000 0.000
0.000 0.500 0.500
0.500 0.000 0.500
0.500 0.500 0.500
0.500 0.500 0.000
```

Output
E above lowest polymorph in meV/atom: 56
ΔE_f (raw) in eV/atom: -0.23



No. 3
Material: Rb2FeNi
Method: DFT, PBE
State: optimized geometry

POSCAR file:
```
Rb2FeNi
1.0
0.000 4.141 4.141
4.141 0.000 4.141
4.141 4.141 0.000
Rb Fe Ni
2 1 1
direct
0.250 0.250 0.250
0.750 0.750 0.750
0.000 0.000 0.000
0.500 0.500 0.500
```

Output
E above lowest polymorph in meV/atom: 483
DFT formation energy in eV/atom: 1.334